A geometry-optimized SmEr2CdHg4 structure. Source: Alexandria, functional GGA-PBE. Values from VASP.

Quantum ESPRESSO input file:
```
&SYSTEM
  ibrav = 0, nat = 8, ntyp = 4
/
ATOMIC_SPECIES
Sm 150.36 Sm.upf
Er 167.26 Er.upf
Cd 112.41 Cd.upf
Hg 200.59 Hg.upf
CELL_PARAMETERS angstrom
5.130 0.000 0.000
2.565 4.443 0.000
2.565 1.481 8.773
ATOMIC_POSITIONS crystal
Sm 0.000 0.000 0.000
Er 0.758 0.758 0.725
Er 0.242 0.242 0.275
Cd 0.500 0.500 0.500
Hg 0.373 0.373 0.880
Hg 0.877 0.877 0.370
Hg 0.123 0.123 0.630
Hg 0.627 0.627 0.120
```

Values from the calculation:
E_tot in eV/atom: -2.4008
Formation energy in eV per atom: -0.405
Space group: R-3m
Theoretical density in g/cm3: 11.62


A geometry-optimized SrErCdHg structure. Source: Alexandria, functional GGA-PBE. Values from VASP.

Quantum ESPRESSO input file:
```
&SYSTEM
  ibrav = 0, nat = 4, ntyp = 4
/
ATOMIC_SPECIES
Sr 87.62 Sr.upf
Cd 112.41 Cd.upf
Hg 200.59 Hg.upf
Er 167.26 Er.upf
CELL_PARAMETERS angstrom
-4.172 2.782 -2.120
-4.134 1.554 3.184
-0.664 5.264 1.223
ATOMIC_POSITIONS crystal
Sr 0.500 0.500 0.500
Cd 0.750 0.750 0.750
Hg 0.250 0.250 0.250
Er 0.000 0.000 0.000
```

Values from the calculation:
E_tot in eV/atom: -2.2125
Formation energy in eV per atom: -0.347
Space group: F-43m
Theoretical density in g/cm3: 8.26


A geometry-optimized Tb2ErCdHg4 structure. Source: Alexandria, functional GGA-PBE. Values from VASP.

Quantum ESPRESSO input file:
```
&SYSTEM
  ibrav = 0, nat = 8, ntyp = 4
/
ATOMIC_SPECIES
Tb 158.93 Tb.upf
Er 167.26 Er.upf
Cd 112.41 Cd.upf
Hg 200.59 Hg.upf
CELL_PARAMETERS angstrom
5.147 0.000 0.000
2.574 4.458 0.000
2.574 1.486 8.632
ATOMIC_POSITIONS crystal
Tb 0.757 0.757 0.728
Tb 0.243 0.243 0.272
Er 0.000 0.000 0.000
Cd 0.500 0.500 0.500
Hg 0.369 0.369 0.894
Hg 0.878 0.878 0.365
Hg 0.122 0.122 0.635
Hg 0.631 0.631 0.106
```

Values from the calculation:
E_tot in eV/atom: -2.4349
Formation energy in eV per atom: -0.442
Space group: R-3m
Theoretical density in g/cm3: 11.74


A geometry-optimized Er2ThCdHg4 structure. Source: Alexandria, functional GGA-PBE. Values from VASP.

Quantum ESPRESSO input file:
```
&SYSTEM
  ibrav = 0, nat = 8, ntyp = 4
/
ATOMIC_SPECIES
Er 167.26 Er.upf
Th 232.04 Th.upf
Cd 112.41 Cd.upf
Hg 200.59 Hg.upf
CELL_PARAMETERS angstrom
-2.845 0.039 -4.186
-2.440 -4.194 -1.440
-9.057 1.148 3.107
ATOMIC_POSITIONS crystal
Er 0.760 0.760 0.720
Er 0.240 0.240 0.280
Th 0.000 0.000 0.000
Cd 0.500 0.500 0.500
Hg 0.381 0.381 0.857
Hg 0.875 0.875 0.376
Hg 0.125 0.125 0.624
Hg 0.619 0.619 0.143
```

Values from the calculation:
E_tot in eV/atom: -2.6531
Formation energy in eV per atom: -0.320
Space group: R-3m
Theoretical density in g/cm3: 12.07


A geometry-optimized ErTiCdHg structure. Source: Alexandria, functional GGA-PBE. Values from VASP.

Quantum ESPRESSO input file:
```
&SYSTEM
  ibrav = 0, nat = 4, ntyp = 4
/
ATOMIC_SPECIES
Cd 112.41 Cd.upf
Ti 47.87 Ti.upf
Hg 200.59 Hg.upf
Er 167.26 Er.upf
CELL_PARAMETERS angstrom
-0.090 -4.565 2.060
0.954 -4.034 -2.810
4.267 -2.544 0.637
ATOMIC_POSITIONS crystal
Cd 0.250 0.250 0.250
Ti 0.500 0.500 0.500
Hg 0.750 0.750 0.750
Er 0.000 0.000 0.000
```

Values from the calculation:
E_tot in eV/atom: -3.5398
Formation energy in eV per atom: -0.121
Space group: F-43m
Theoretical density in g/cm3: 9.87


A geometry-optimized ErTlCdHg structure. Source: Alexandria, functional GGA-PBE. Values from VASP.

Quantum ESPRESSO input file:
```
&SYSTEM
  ibrav = 0, nat = 4, ntyp = 4
/
ATOMIC_SPECIES
Tl 204.38 Tl.upf
Cd 112.41 Cd.upf
Hg 200.59 Hg.upf
Er 167.26 Er.upf
CELL_PARAMETERS angstrom
-2.318 -0.396 4.603
1.697 -3.444 3.460
2.434 1.607 4.267
ATOMIC_POSITIONS crystal
Tl 0.000 0.000 0.000
Cd 0.750 0.750 0.750
Hg 0.500 0.500 0.500
Er 0.250 0.250 0.250
```

Values from the calculation:
E_tot in eV/atom: -2.2815
Formation energy in eV per atom: -0.245
Space group: F-43m
Theoretical density in g/cm3: 11.64
Offset from the most stable computed form in meV per atom: 16